# 1
Compound: Y2AlV2Ru5
Source: Alexandria
Functional: PBE-GGA
Structure: relaxed

- electronic total energy (eV/atom) = -8.40

Cell: 10.2338 10.2338 3.1882 Å, 90.00 90.00 90.00°
Closest atoms and distances in Å follow each position.
Space group P4/mbm (No. 127)
Asymmetric unit:
Y (0.1728, 0.3272, 0.0000)  3 V 2.86-3.12, 10 Ru 2.97-3.19, 2 Y 3.19
Al (0.0000, 0.0000, 0.0000)  8 Ru 2.69
V (0.1294, 0.6294, 0.0000)  6 Ru 2.45-2.46
Ru (0.0000, 0.5000, 0.5000)  4 V 2.46
Ru (0.0654, 0.7991, 0.5000)  2 V 2.45, 2 Al 2.69

=====

# 2
Compound: Zr2Al2VRu5
Source: Alexandria
Functional: PBE-GGA
Structure: relaxed

- electronic total energy (eV/atom) = -8.46

Cell: 9.8575 9.8575 3.2123 Å, 90.00 90.00 90.00°
Closest atoms and distances in Å follow each position.
Space group P4/mbm (No. 127)
Asymmetric unit:
Zr (0.1708, 0.3292, 0.0000)  3 Al 2.78-2.99, 6 Ru 2.87-3.07
Al (0.1299, 0.6299, 0.0000)  6 Ru 2.42-2.44
V (0.0000, 0.0000, 0.0000)  8 Ru 2.59
Ru (0.0000, 0.5000, 0.5000)  4 Al 2.42
Ru (0.0593, 0.8021, 0.5000)  2 Al 2.44, 2 V 2.59

=====

# 3
Compound: AlRuW
Source: Alexandria
Functional: PBE-GGA
Structure: relaxed

- energy above the most stable polymorph in this dataset (eV/f.u.) = 0.841

Cell: 4.2795 4.2795 2.8056 Å, 90.00 90.00 120.00°
Closest atoms and distances in Å follow each position.
Space group P3m1 (No. 156)
Asymmetric unit:
Al (0.0000, 0.0000, 0.0000)  3 Ru 2.56, 3 W 2.75, 2 Al 2.81
Ru (0.6667, 0.3333, 0.2410)  3 Al 2.56, 3 W 2.64, 2 Ru 2.81
W (0.3333, 0.6667, 0.5694)  3 Ru 2.64, 6 Al 2.75-2.94, 2 W 2.81

=====

# 4
Compound: AlRuW
Source: Alexandria
Functional: PBE-GGA
Structure: relaxed

- energy above the most stable polymorph in this dataset (eV/f.u.) = 0.656

Cell: 13.3690 2.9461 4.5373 Å, 90.00 96.47 90.00°
Closest atoms and distances in Å follow each position.
Space group Cm (No. 8)
Asymmetric unit:
Al (0.0000, 0.0000, 0.0000)  3 Ru 2.63-2.66, 6 W 2.69-2.89, 2 Al 2.95
Al (0.1680, 0.0000, 0.5998)  6 Ru 2.58-2.72, 2 W 2.72
Ru (0.1635, 0.5000, 0.1030)  2 W 2.61, 6 Al 2.63-2.72
Ru (0.3270, 0.5000, 0.6472)  3 Al 2.58-2.66, 6 W 2.69-2.85
W (0.3258, 0.0000, 0.1438)  6 Ru 2.61-2.72, 1 W 2.63, 2 Al 2.89
W (0.4966, 0.0000, 0.4943)  3 W 2.63-2.95, 6 Al 2.69-2.72, 2 Ru 2.85

=====

Summary of total moment in Bohr magnetons per cell
0.0 0.0 0.0 0.0
(order as listed above)